Record 1
Sr2BiPdPb: relaxed, PBE.

Cell and atoms, written as extended XYZ:
```
5
Lattice="6.2441 0.0000 0.0000 0.0000 6.2441 0.0000 0.0000 0.0000 5.0611" Properties=species:S:1:pos:R:3 pbc="T T T"
Sr 0.0000 3.1221 0.0000
Sr 3.1221 0.0000 0.0000
Bi 0.0000 0.0000 2.5305
Pd 3.1221 3.1221 2.5305
Pb 3.1221 3.1221 0.0000
```

Summary:
Theoretical density in g/cm3: 5.9
Total DFT energy (no corrections) in hartree per atom: -0.1202
E_form in meV per atom: -42

=====

Record 2
ZrFe2Br: relaxed, PBE.

Cell and atoms, written as extended XYZ:
```
4
Lattice="-1.8795 1.8795 4.7882 1.8795 -1.8795 4.7882 1.8795 1.8795 -4.7882" Properties=species:S:1:pos:R:3 pbc="T T T"
Zr 0.0000 0.0000 0.0000
Fe 1.8795 0.0000 2.3941
Fe 0.0000 1.8795 2.3941
Br 0.0000 0.0000 4.7882
```

Summary:
Theoretical density in g/cm3: 6.9
ΔE_f (raw) in meV per atom: 449
Total DFT energy (no corrections) in hartree per atom: -0.2329
Energy above the lowest structure with this stoichiometry in kJ/mol of atoms: 42.48

=====

Record 3
Zr2ScTe: relaxed, PBE.

Cell and atoms, written as extended XYZ:
```
4
Lattice="3.0399 -4.2477 0.0000 3.0399 4.2477 0.0000 0.0000 0.0000 3.4975" Properties=species:S:1:pos:R:3 pbc="T T T"
Zr 1.5200 2.1238 0.0000
Zr 1.5200 -2.1238 0.0000
Sc 0.0000 0.0000 1.7487
Te 3.0399 0.0000 1.7487
```

Summary:
Theoretical density in g/cm3: 6.5
ΔE_f (raw) in meV per atom: -343
Total DFT energy (no corrections) in hartree per atom: -0.2567

=====

Record 4
Sm7BI12: relaxed, PBE.

Cell and atoms, written as extended XYZ:
```
20
Lattice="7.9087 4.5661 3.5335 -7.9087 4.5661 3.5335 0.0000 -9.1321 3.5335" Properties=species:S:1:pos:R:3 pbc="T T T"
Sm 0.0000 0.0000 0.0000
Sm -1.5520 -1.5217 3.7841
Sm -0.5418 2.1049 3.7841
Sm 2.0938 -0.5833 3.7841
Sm -2.0938 0.5833 6.8163
Sm 0.5418 -2.1049 6.8163
Sm 1.5520 1.5217 6.8163
B 0.0000 0.0000 5.3002
I -2.5145 0.7075 1.7223
I 0.6445 -2.5314 1.7223
I -4.2797 -1.1019 5.2700
I -1.1855 -4.2573 5.3305
I 1.8700 1.8239 1.7223
I -3.0941 3.1553 5.3305
I 3.0941 -3.1553 5.2700
I -1.8700 -1.8239 8.8782
I 1.1855 4.2573 5.2700
I 4.2797 1.1019 5.3305
I -0.6445 2.5314 8.8782
I 2.5145 -0.7075 8.8782
```

Summary:
Theoretical density in g/cm3: 5.6
ΔE_f (raw) in meV per atom: -1232
Total DFT energy (no corrections) in hartree per atom: -0.1524

=====

Record 5
Tb2Pr4Ho5: relaxed, PBE.

Cell and atoms, written as extended XYZ:
```
11
Lattice="9.6226 -2.8452 0.0000 9.6226 2.8452 0.0000 -0.0965 0.0000 6.6711" Properties=species:S:1:pos:R:3 pbc="T T T"
Tb 1.8830 0.0000 0.3688
Tb 17.2656 0.0000 6.3022
Pr 3.6786 0.0000 3.8321
Pr 9.2034 0.0000 1.4243
Pr 9.9453 0.0000 5.2468
Pr 15.4701 0.0000 2.8390
Ho -0.0483 0.0000 3.3355
Ho 5.5864 0.0000 0.6555
Ho 7.0523 0.0000 4.0786
Ho 12.0964 0.0000 2.5925
Ho 13.5622 0.0000 6.0155
```

Summary:
Theoretical density in g/cm3: 7.8
Total DFT energy (no corrections) in hartree per atom: -0.1674
Energy above the lowest structure with this stoichiometry in kJ/mol of atoms: 0.00
E_form in meV per atom: 106

=====

Record 6
Nd2Tm3Ir2: relaxed, PBE.

Cell and atoms, written as extended XYZ:
```
7
Lattice="6.1092 -1.9030 0.0000 6.1092 1.9030 0.0000 -4.1111 0.0000 8.0119" Properties=species:S:1:pos:R:3 pbc="T T T"
Nd 0.7587 0.0000 2.4459
Nd 7.3485 0.0000 5.5661
Tm 4.3452 0.0000 0.5485
Tm 4.0536 0.0000 4.0060
Tm 3.7620 0.0000 7.4635
Ir -0.9684 0.0000 5.9371
Ir 9.0756 0.0000 2.0748
```

Summary:
Theoretical density in g/cm3: 10.5
Total DFT energy (no corrections) in hartree per atom: -0.2363
E_form in meV per atom: -618

=====

Q: Which formula does entry 3 have?
A: Zr2ScTe